First-principles (GGA-PBE) data for an optimized crystal structure of CeHoThSc, as listed in Alexandria via LeMat-Bulk.

Cell and atoms, written as CIF:
```
data_CeHoThSc
_chemical_formula_sum 'Ce4 Ho4 Th4 Sc4'
_cell_length_a 7.793
_cell_length_b 7.793
_cell_length_c 7.793
_cell_angle_alpha 90.00
_cell_angle_beta 90.00
_cell_angle_gamma 90.00
_symmetry_space_group_name_H-M 'F -4 3 m'
_symmetry_Int_Tables_number 216
_symmetry_space_group_name_Hall 'F -4 2 3'
loop_
_atom_site_label
_atom_site_type_symbol
_atom_site_fract_x
_atom_site_fract_y
_atom_site_fract_z
Ce1 Ce 0.000 0.000 0.000
Ho1 Ho 0.250 0.250 0.750
Th1 Th 0.250 0.250 0.250
Sc1 Sc 0.000 0.000 0.500
```

Results
calculated density: 8.169 g/cm3
energy relative to the lowest polymorph listed for this composition: 157 meV per atom
energy of formation: 0.193 eV/atom
raw total energy: -0.2158 hartree per atom